(1)
Density functional theory data (PBE) for a relaxed PmPr5Sm4 crystal.

Cell lengths 14.5587, 14.5587, 6.9937 Å; angles 97.24, 97.24, 13.94 degrees
Atoms (fractional coordinates):
Pm 0.0000 0.0000 0.0000
Pr 0.0000 0.0000 0.5000
Pr 0.2945 0.2945 0.8954
Pr 0.3001 0.3001 0.4021
Pr 0.6999 0.6999 0.5979
Pr 0.7055 0.7055 0.1046
Sm 0.1072 0.1072 0.8119
Sm 0.4065 0.4065 0.7034
Sm 0.5935 0.5935 0.2966
Sm 0.8928 0.8928 0.1881

Summary:
E_tot	-46.1	eV/cell
space-group type	C2/m
E above lowest polymorph	0.000	eV per atom



(2)
Density functional theory data (PBE) for a relaxed Pm6Pr2Sm crystal.

Cell lengths 6.3425, 6.3456, 8.1936 Å; angles 82.65, 75.03, 80.38 degrees
Atoms (fractional coordinates):
Pm 0.1109 0.2230 0.0557
Pm 0.2212 0.4454 0.6111
Pm 0.3327 0.6670 0.1668
Pm 0.6673 0.3330 0.8332
Pm 0.7788 0.5546 0.3889
Pm 0.8891 0.7770 0.9443
Pr 0.4443 0.8889 0.7224
Pr 0.5557 0.1111 0.2776
Sm 0.0000 0.0000 0.5000

Summary:
E_tot	-42.7	eV/cell
space-group type	P-1
E above lowest polymorph	0.000	eV per atom



(3)
Density functional theory data (PBE) for a relaxed Pm3PrSm2 crystal.

Cell lengths 9.3267, 9.3267, 6.6714 Å; angles 102.99, 102.99, 21.61 degrees
Atoms (fractional coordinates):
Pm 0.0000 0.0000 0.0000
Pm 0.1721 0.1721 0.3567
Pm 0.8279 0.8279 0.6433
Pr 0.0000 0.0000 0.5000
Sm 0.3371 0.3371 0.1462
Sm 0.6629 0.6629 0.8538

Summary:
E_tot	-27.6	eV/cell
space-group type	C2/m
E above lowest polymorph	0.000	eV per atom



(4)
Density functional theory data (PBE) for a relaxed Pm5PrSm4 crystal.

Cell lengths 8.1271, 8.1271, 8.1271 Å; angles 98.42, 98.42, 135.00 degrees
Atoms (fractional coordinates):
Pm 0.0000 0.0000 0.0000
Pm 0.5464 0.5472 0.6208
Pm 0.5472 0.9264 0.0009
Pm 0.9256 0.5464 0.9991
Pm 0.9264 0.9256 0.3792
Pr 0.4653 0.4653 0.0000
Sm 0.2179 0.5451 0.3262
Sm 0.2189 0.8917 0.6738
Sm 0.5451 0.2189 0.3271
Sm 0.8917 0.2179 0.6729

Summary:
E_tot	-44.9	eV/cell
space-group type	I4
E above lowest polymorph	0.106	eV per atom



| no. | ΔE_f (eV per atom) |
| --- | --- |
| 1 | 0.144 |
| 2 | 0.013 |
| 3 | 0.142 |
| 4 | 0.246 |